## P
A plane-wave DFT calculation with GGA-PBE was carried out for crystalline RbTaAg2Pd at its relaxed geometry.

Cell: 5.3612 5.3612 4.9731 Å, 90.00 90.00 90.00°
Atoms (fractional coordinates):
Rb 0.0000 0.0000 0.0000
Ta 0.5000 0.5000 0.5000
Ag 0.0000 0.5000 0.0000
Ag 0.5000 0.0000 0.0000
Pd 0.0000 0.0000 0.5000

## Properties
**Magnetization**: 3.311 μB/cell

***

## Q
A plane-wave DFT calculation with GGA-PBE was carried out for crystalline RbTaAg2Pd at its relaxed geometry.

Cell: 5.4002 5.4002 4.9786 Å, 90.00 90.00 90.00°
Atoms (fractional coordinates):
Rb 0.0000 0.0000 0.0000
Ta 0.5000 0.5000 0.5000
Ag 0.0000 0.5000 0.5000
Ag 0.5000 0.0000 0.5000
Pd 0.5000 0.5000 0.0000

## Properties
**Magnetization**: 0.000 μB/cell

***

Stability check: which of them is most stable? Q.

***

## P
A plane-wave DFT calculation with GGA-PBE was carried out for crystalline ReAg2Pd2 at its relaxed geometry.

Cell: 7.2672 7.2672 7.2672 Å, 150.67 150.67 41.97°
Atoms (fractional coordinates):
Re 0.0000 0.0000 0.0000
Ag 0.4020 0.4020 0.0000
Ag 0.5980 0.5980 0.0000
Pd 0.2500 0.7500 0.5000
Pd 0.7500 0.2500 0.5000

## Properties
**Magnetization**: 3.516 μB/cell

***

## Q
A plane-wave DFT calculation with GGA-PBE was carried out for crystalline ReAg2Pd2 at its relaxed geometry.

Cell: 7.7106 7.7106 2.8059 Å, 90.00 90.00 90.00°
Atoms (fractional coordinates):
Re 0.0000 0.0000 0.0000
Re 0.5000 0.5000 0.0000
Ag 0.1231 0.3769 0.0000
Ag 0.3769 0.8769 0.0000
Ag 0.6231 0.1231 0.0000
Ag 0.8769 0.6231 0.0000
Pd 0.1771 0.6771 0.5000
Pd 0.3229 0.1771 0.5000
Pd 0.6771 0.8229 0.5000
Pd 0.8229 0.3229 0.5000

## Properties
**Magnetization**: 1.607 μB/cell

***

Stability check: which of them is most stable? Q.

***

## P
A plane-wave DFT calculation with GGA-PBE was carried out for crystalline AgPdRh at its relaxed geometry.

Cell: 13.9448 13.9448 13.9448 Å, 11.51 11.51 11.51°
Atoms (fractional coordinates):
Ag 0.1965 0.1965 0.1965
Ag 0.8035 0.8035 0.8035
Pd 0.0795 0.0795 0.0795
Pd 0.9205 0.9205 0.9205
Rh 0.3588 0.3588 0.3588
Rh 0.6412 0.6412 0.6412

## Properties
**Magnetization**: 0.000 μB/cell

***

## Q
A plane-wave DFT calculation with GGA-PBE was carried out for crystalline AgPdRh at its relaxed geometry.

Cell: 6.4067 6.4067 6.4067 Å, 154.83 154.83 35.89°
Atoms (fractional coordinates):
Ag 0.0000 0.0000 0.0000
Pd 0.6734 0.6734 0.0000
Rh 0.3276 0.3276 0.0000

## Properties
**Magnetization**: 1.348 μB/cell

***

Stability check: which of them is most stable? P.